[1]
Here is Rh2WCl after structural relaxation from the Alexandria database. Energies are from PBE-GGA.

Cell: 8.9067 2.8952 6.4405 Å, 90.00 97.36 90.00°
Closest atoms and distances in Å follow each position.
Space group Cm (No. 8)
Unique sites:
Rh (0.0000, 0.0000, 0.0000) x2  2 W 2.55, 1 Cl 2.56, 3 Rh 2.72-2.78
Rh (0.2370, 0.5000, 0.1915) x2  3 W 2.52-2.67, 3 Rh 2.72-2.78
W (0.4627, 0.0000, 0.3159) x2  2 Cl 2.47, 5 Rh 2.52-2.67
Cl (0.0512, 0.0000, 0.6176) x2  2 W 2.47, 1 Rh 2.56

Values from the calculation:
* relative energy among the computed polymorphs: 0.256 eV/atom
* ρ: 8.57 g cm⁻³
* energy relative to the elements, uncorrected: 1.0 eV/f.u.

---

[2]
Here is Rh2WCl after structural relaxation from the Alexandria database. Energies are from PBE-GGA.

Cell: 6.2131 6.2131 6.2131 Å, 90.00 90.00 90.00°
Closest atoms and distances in Å follow each position.
Space group F-43m (No. 216)
Unique sites:
Rh (0.0000, 0.0000, 0.0000) x4  4 Cl 2.69, 4 Rh 2.69
Rh (0.2500, 0.2500, 0.2500) x4  4 W 2.69, 4 Rh 2.69
W (0.0000, 0.0000, 0.5000) x4  4 Cl 2.69, 4 Rh 2.69
Cl (0.2500, 0.2500, 0.7500) x4  4 W 2.69, 4 Rh 2.69

Values from the calculation:
* relative energy among the computed polymorphs: 0.644 eV/atom
* ρ: 11.77 g cm⁻³
* energy relative to the elements, uncorrected: 2.6 eV/f.u.